#i
Entry from the Alexandria database: a relaxed Mn2FeAg crystal (PBE).

Results
density of states at the Fermi level = 0.769 states/eV per atom
V = 14.7 Å³/atom

a b c (Å): 5.736 7.334 2.800
angles (deg): 90.00 90.00 90.00
Space group Cmmm (No. 65)
Unique sites:
Mn1 0.250 0.250 0.000 (multiplicity 4)
Fe1 0.000 0.000 0.500 (multiplicity 2)
Ag1 0.000 0.500 0.500 (multiplicity 2)



#ii
Entry from the Alexandria database: a relaxed Mn2FeAg crystal (PBE).

Results
density of states at the Fermi level = 1.214 states/eV per atom
V = 13.1 Å³/atom

a b c (Å): 8.730 2.659 4.609
angles (deg): 90.00 101.20 90.00
Space group C2/m (No. 12)
Unique sites:
Mn1 0.240 0.000 0.206 (multiplicity 4)
Fe1 0.000 0.500 0.000 (multiplicity 2)
Ag1 0.000 0.000 0.500 (multiplicity 2)



#iii
Entry from the Alexandria database: a relaxed Mn2FeAg crystal (PBE).

Results
density of states at the Fermi level = 1.609 states/eV per atom
V = 14.6 Å³/atom

a b c (Å): 6.158 6.158 6.158
angles (deg): 90.00 90.00 90.00
Space group F-43m (No. 216)
Unique sites:
Mn1 0.000 0.000 0.000 (multiplicity 4)
Mn2 0.250 0.250 0.250 (multiplicity 4)
Fe1 0.250 0.250 0.750 (multiplicity 4)
Ag1 0.000 0.000 0.500 (multiplicity 4)



#iv
Entry from the Alexandria database: a relaxed Mn2FeAg crystal (PBE).

Results
density of states at the Fermi level = 1.245 states/eV per atom
V = 13.3 Å³/atom

a b c (Å): 2.629 3.673 5.518
angles (deg): 90.00 90.00 90.00
Space group Pmmm (No. 47)
Unique sites:
Mn1 0.000 0.000 0.217 (multiplicity 2)
Fe1 0.500 0.500 0.000 (multiplicity 1)
Ag1 0.500 0.500 0.500 (multiplicity 1)



Relative energy table, unit meV per atom: #i 26; #ii 76; #iii 138; #iv 0



#i
Entry from the Alexandria database: a relaxed Mn2FeAg crystal (PBE).

Results
density of states at the Fermi level = 0.877 states/eV per atom
V = 13.4 Å³/atom

a b c (Å): 2.655 2.655 7.612
angles (deg): 90.00 90.00 90.00
Space group P4mm (No. 99)
Unique sites:
Mn1 0.000 0.000 0.000 (multiplicity 1)
Mn2 0.500 0.500 0.219 (multiplicity 1)
Fe1 0.500 0.500 0.783 (multiplicity 1)
Ag1 0.000 0.000 0.506 (multiplicity 1)



#ii
Entry from the Alexandria database: a relaxed Mn2FeAg crystal (PBE).

Results
density of states at the Fermi level = 0.384 states/eV per atom
V = 14.2 Å³/atom

a b c (Å): 6.097 6.097 6.097
angles (deg): 90.00 90.00 90.00
Space group Fm-3m (No. 225)
Unique sites:
Mn1 0.250 0.250 0.250 (multiplicity 8)
Fe1 0.000 0.000 0.000 (multiplicity 4)
Ag1 0.000 0.000 0.500 (multiplicity 4)



Relative energy table, unit meV per atom: #i 0; #ii 176



#i
Entry from the Alexandria database: a relaxed MnFeAg crystal (PBE).

Results
density of states at the Fermi level = 0.780 states/eV per atom
V = 14.9 Å³/atom

a b c (Å): 2.745 2.745 11.867
angles (deg): 90.00 90.00 90.00
Space group I4mm (No. 107)
Unique sites:
Mn1 0.000 0.000 0.000 (multiplicity 2)
Fe1 0.000 0.000 0.648 (multiplicity 2)
Ag1 0.000 0.000 0.320 (multiplicity 2)



#ii
Entry from the Alexandria database: a relaxed MnFeAg crystal (PBE).

Results
density of states at the Fermi level = 0.794 states/eV per atom
V = 13.6 Å³/atom

a b c (Å): 2.6582 2.6582 6.6868
angles (deg): 90.00 90.00 120.00
Space group P3m1 (No. 156)
Unique sites:
Mn1 0.0000 0.0000 0.0000 (multiplicity 1)
Fe1 0.3333 0.6667 0.7163 (multiplicity 1)
Ag1 0.6667 0.3333 0.3595 (multiplicity 1)



Relative energy table, unit meV per atom: #i 0; #ii 74



#i
Entry from the Alexandria database: a relaxed FeAgMo2 crystal (PBE).

Results
density of states at the Fermi level = 0.966 states/eV per atom
V = 15.1 Å³/atom

a b c (Å): 3.754 3.826 4.210
angles (deg): 90.00 90.00 90.00
Space group Pmmm (No. 47)
Unique sites:
Fe1 0.000 0.000 0.000 (multiplicity 1)
Ag1 0.500 0.500 0.000 (multiplicity 1)
Mo1 0.000 0.500 0.500 (multiplicity 1)
Mo2 0.500 0.000 0.500 (multiplicity 1)



#ii
Entry from the Alexandria database: a relaxed FeAgMo2 crystal (PBE).

Results
density of states at the Fermi level = 0.890 states/eV per atom
V = 15.3 Å³/atom

a b c (Å): 2.654 4.273 5.446
angles (deg): 90.00 98.60 90.00
Space group P2/m (No. 10)
Unique sites:
Fe1 0.000 0.000 0.000 (multiplicity 1)
Ag1 0.000 0.000 0.500 (multiplicity 1)
Mo1 0.454 0.500 0.225 (multiplicity 2)



Relative energy table, unit meV per atom: #i 47; #ii 0



#i
Entry from the Alexandria database: a relaxed FeAgMo2 crystal (PBE).

Results
density of states at the Fermi level = 0.748 states/eV per atom
V = 15.4 Å³/atom

a b c (Å): 3.186 4.330 8.936
angles (deg): 90.00 90.00 90.00
Space group Cmm2 (No. 35)
Unique sites:
Fe1 0.000 0.000 0.000 (multiplicity 2)
Ag1 0.000 0.500 0.751 (multiplicity 2)
Mo1 0.000 0.000 0.478 (multiplicity 2)
Mo2 0.000 0.500 0.227 (multiplicity 2)



#ii
Entry from the Alexandria database: a relaxed FeAgMo2 crystal (PBE).

Results
density of states at the Fermi level = 1.476 states/eV per atom
V = 16.1 Å³/atom

a b c (Å): 3.729 3.729 18.558
angles (deg): 90.00 90.00 90.00
Space group I-42d (No. 122)
Unique sites:
Fe1 0.000 0.000 0.000 (multiplicity 4)
Ag1 0.000 0.000 0.500 (multiplicity 4)
Mo1 0.225 0.250 0.125 (multiplicity 8)



Relative energy table, unit meV per atom: #i 0; #ii 740



#i
Entry from the Alexandria database: a relaxed FeAgMo2 crystal (PBE).

Results
density of states at the Fermi level = 0.925 states/eV per atom
V = 15.1 Å³/atom

a b c (Å): 2.7421 2.7421 27.8049
angles (deg): 90.00 90.00 120.00
Space group R-3m (No. 166, hexagonal axes)
Unique sites:
Fe1 0.0000 0.0000 0.0000 (multiplicity 3)
Ag1 0.0000 0.0000 0.5000 (multiplicity 3)
Mo1 0.0000 0.0000 0.2584 (multiplicity 6)



#ii
Entry from the Alexandria database: a relaxed FeAgMo2 crystal (PBE).

Results
density of states at the Fermi level = 1.283 states/eV per atom
V = 15.4 Å³/atom

a b c (Å): 2.7727 2.7727 27.6812
angles (deg): 90.00 90.00 120.00
Space group R3m (No. 160, hexagonal axes)
Unique sites:
Fe1 0.0000 0.0000 0.0000 (multiplicity 3)
Ag1 0.0000 0.0000 0.7497 (multiplicity 3)
Mo1 0.0000 0.0000 0.2608 (multiplicity 3)
Mo2 0.0000 0.0000 0.5072 (multiplicity 3)



#iii
Entry from the Alexandria database: a relaxed FeAgMo2 crystal (PBE).

Results
density of states at the Fermi level = 0.927 states/eV per atom
V = 14.9 Å³/atom

a b c (Å): 2.705 2.705 8.120
angles (deg): 90.00 90.00 90.00
Space group P4/mmm (No. 123)
Unique sites:
Fe1 0.000 0.000 0.000 (multiplicity 1)
Ag1 0.000 0.000 0.500 (multiplicity 1)
Mo1 0.500 0.500 0.215 (multiplicity 2)



#iv
Entry from the Alexandria database: a relaxed FeAgMo2 crystal (PBE).

Results
density of states at the Fermi level = 0.930 states/eV per atom
V = 15.5 Å³/atom

a b c (Å): 3.209 3.209 6.029
angles (deg): 90.00 90.00 90.00
Space group P4mm (No. 99)
Unique sites:
Fe1 0.000 0.000 0.000 (multiplicity 1)
Ag1 0.500 0.500 0.752 (multiplicity 1)
Mo1 0.000 0.000 0.459 (multiplicity 1)
Mo2 0.500 0.500 0.230 (multiplicity 1)



Relative energy table, unit meV per atom: #i 95; #ii 131; #iii 0; #iv 78



#i
Entry from the Alexandria database: a relaxed FeAgMo2 crystal (PBE).

Results
density of states at the Fermi level = 1.029 states/eV per atom
V = 15.2 Å³/atom

a b c (Å): 5.375 8.558 2.642
angles (deg): 90.00 90.00 90.00
Space group Cmmm (No. 65)
Unique sites:
Fe1 0.000 0.000 0.000 (multiplicity 2)
Ag1 0.000 0.500 0.000 (multiplicity 2)
Mo1 0.250 0.250 0.500 (multiplicity 4)



#ii
Entry from the Alexandria database: a relaxed FeAgMo2 crystal (PBE).

Results
density of states at the Fermi level = 0.718 states/eV per atom
V = 15.2 Å³/atom

a b c (Å): 3.211 4.212 9.000
angles (deg): 90.00 90.00 90.00
Space group Cmmm (No. 65)
Unique sites:
Fe1 0.000 0.000 0.000 (multiplicity 2)
Ag1 0.000 0.000 0.500 (multiplicity 2)
Mo1 0.000 0.500 0.229 (multiplicity 4)



#iii
Entry from the Alexandria database: a relaxed FeAgMo2 crystal (PBE).

Results
density of states at the Fermi level = 0.925 states/eV per atom
V = 15.4 Å³/atom

a b c (Å): 3.387 4.403 8.275
angles (deg): 90.00 90.00 90.00
Space group Imm2 (No. 44)
Unique sites:
Fe1 0.000 0.000 0.000 (multiplicity 2)
Ag1 0.000 0.500 0.757 (multiplicity 2)
Mo1 0.000 0.000 0.530 (multiplicity 2)
Mo2 0.000 0.500 0.264 (multiplicity 2)



Relative energy table, unit meV per atom: #i 136; #ii 0; #iii 183



#i
Entry from the Alexandria database: a relaxed FeAgMo2 crystal (PBE).

Results
density of states at the Fermi level = 1.098 states/eV per atom
V = 15.5 Å³/atom

a b c (Å): 6.285 6.285 6.285
angles (deg): 90.00 90.00 90.00
Space group F-43m (No. 216)
Unique sites:
Fe1 0.000 0.000 0.000 (multiplicity 4)
Ag1 0.250 0.250 0.250 (multiplicity 4)
Mo1 0.000 0.000 0.500 (multiplicity 4)
Mo2 0.250 0.250 0.750 (multiplicity 4)



#ii
Entry from the Alexandria database: a relaxed FeAgMo2 crystal (PBE).

Results
density of states at the Fermi level = 0.850 states/eV per atom
V = 15.3 Å³/atom

a b c (Å): 2.634 4.449 5.272
angles (deg): 90.00 97.12 90.00
Space group Pm (No. 6)
Unique sites:
Fe1 0.000 0.000 0.000 (multiplicity 1)
Ag1 0.093 0.500 0.732 (multiplicity 1)
Mo1 0.473 0.000 0.474 (multiplicity 1)
Mo2 0.687 0.500 0.218 (multiplicity 1)



#iii
Entry from the Alexandria database: a relaxed FeAgMo2 crystal (PBE).

Results
density of states at the Fermi level = 1.201 states/eV per atom
V = 15.3 Å³/atom

a b c (Å): 6.261 6.261 6.261
angles (deg): 90.00 90.00 90.00
Space group Fm-3m (No. 225)
Unique sites:
Fe1 0.000 0.000 0.000 (multiplicity 4)
Ag1 0.000 0.000 0.500 (multiplicity 4)
Mo1 0.250 0.250 0.250 (multiplicity 8)



#iv
Entry from the Alexandria database: a relaxed FeAgMo2 crystal (PBE).

Results
density of states at the Fermi level = 0.917 states/eV per atom
V = 15.2 Å³/atom

a b c (Å): 3.188 4.269 8.943
angles (deg): 90.00 90.00 90.00
Space group Immm (No. 71)
Unique sites:
Fe1 0.000 0.000 0.000 (multiplicity 2)
Ag1 0.000 0.000 0.500 (multiplicity 2)
Mo1 0.000 0.500 0.268 (multiplicity 4)



Relative energy table, unit meV per atom: #i 188; #ii 0; #iii 301; #iv 51



#i
Entry from the Alexandria database: a relaxed FeAgMo2 crystal (PBE).

Results
density of states at the Fermi level = 0.774 states/eV per atom
V = 15.3 Å³/atom

a b c (Å): 9.200 2.634 5.094
angles (deg): 90.00 96.21 90.00
Space group Cm (No. 8)
Unique sites:
Fe1 0.000 0.000 0.000 (multiplicity 2)
Ag1 0.247 0.500 0.236 (multiplicity 2)
Mo1 0.256 0.000 0.750 (multiplicity 2)
Mo2 0.497 0.000 0.504 (multiplicity 2)



#ii
Entry from the Alexandria database: a relaxed FeAgMo2 crystal (PBE).

Results
density of states at the Fermi level = 0.830 states/eV per atom
V = 14.9 Å³/atom

a b c (Å): 2.744 3.829 5.675
angles (deg): 90.00 90.00 90.00
Space group Pmmm (No. 47)
Unique sites:
Fe1 0.000 0.000 0.000 (multiplicity 1)
Ag1 0.000 0.000 0.500 (multiplicity 1)
Mo1 0.500 0.500 0.217 (multiplicity 2)



#iii
Entry from the Alexandria database: a relaxed FeAgMo2 crystal (PBE).

Results
density of states at the Fermi level = 0.870 states/eV per atom
V = 15.3 Å³/atom

a b c (Å): 4.005 4.005 7.619
angles (deg): 90.00 90.00 90.00
Space group I-4m2 (No. 119)
Unique sites:
Fe1 0.000 0.000 0.000 (multiplicity 2)
Ag1 0.000 0.500 0.250 (multiplicity 2)
Mo1 0.000 0.000 0.500 (multiplicity 2)
Mo2 0.000 0.500 0.750 (multiplicity 2)



Relative energy table, unit meV per atom: #i 50; #ii 0; #iii 98



#i
Entry from the Alexandria database: a relaxed FeAgN crystal (PBE).

Results
density of states at the Fermi level = 0.701 states/eV per atom
V = 14.1 Å³/atom

a b c (Å): 3.372 3.372 7.416
angles (deg): 90.00 90.00 90.00
Space group P4/nmm (No. 129, origin choice 2)
Unique sites:
Fe1 0.250 0.750 0.000 (multiplicity 2)
Ag1 0.250 0.250 0.396 (multiplicity 2)
N1 0.250 0.250 0.891 (multiplicity 2)



#ii
Entry from the Alexandria database: a relaxed FeAgN crystal (PBE).

Results
density of states at the Fermi level = 0.460 states/eV per atom
V = 14.1 Å³/atom

a b c (Å): 9.050 2.961 6.300
angles (deg): 90.00 90.00 90.00
Space group Pnma (No. 62)
Unique sites:
Fe1 0.037 0.250 0.133 (multiplicity 4)
Ag1 0.127 0.250 0.557 (multiplicity 4)
N1 0.128 0.750 0.038 (multiplicity 4)



Relative energy table, unit meV per atom: #i 0; #ii 93



#i
Entry from the Alexandria database: a relaxed FeAg3N crystal (PBE).

Results
density of states at the Fermi level = 0.865 states/eV per atom
V = 23.9 Å³/atom

a b c (Å): 4.926 4.926 4.926
angles (deg): 90.00 90.00 90.00
Space group Pm-3m (No. 221)
Unique sites:
Fe1 0.000 0.000 0.000 (multiplicity 1)
Ag1 0.000 0.000 0.500 (multiplicity 3)
N1 0.500 0.500 0.500 (multiplicity 1)



#ii
Entry from the Alexandria database: a relaxed FeAg3N crystal (PBE).

Results
density of states at the Fermi level = 1.461 states/eV per atom
V = 16.3 Å³/atom

a b c (Å): 4.333 4.333 4.333
angles (deg): 90.00 90.00 90.00
Space group Pm-3m (No. 221)
Unique sites:
Fe1 0.000 0.000 0.000 (multiplicity 1)
Ag1 0.000 0.500 0.500 (multiplicity 3)
N1 0.500 0.500 0.500 (multiplicity 1)



Relative energy table, unit meV per atom: #i 946; #ii 0